# PBE with a Hubbard U MnCl3F, relaxed
# Relative energy among the computed polymorphs = 636 meV per atom
# Fermi-level density of states = 22.87 states/eV/cell
# Calculated total energy = -3.417 eV/atom
data_MnCl3F
_space_group_name_H-M_alt 'P m -3 m'
_space_group_IT_number 221
_space_group_name_Hall '-P 4 2 3'
_cell_length_a 4.815
_cell_length_b 4.815
_cell_length_c 4.815
_cell_angle_alpha 90.00
_cell_angle_beta 90.00
_cell_angle_gamma 90.00
loop_
_atom_site_label
_atom_site_type_symbol
_atom_site_fract_x
_atom_site_fract_y
_atom_site_fract_z
_atom_site_occupancy
Mn1 Mn 0.000 0.000 0.000 1
Cl1 Cl 0.000 0.000 0.500 1
F1 F 0.500 0.500 0.500 1